A plane-wave DFT calculation with PBE+U was carried out for a geometry-optimized Cs2VNi3F12 structure.

a = 7.464 Å, b = 7.464 Å, c = 7.464 Å
α = 59.07°, β = 59.07°, γ = 59.07°
Fractional positions:
1 Cs 0.113 0.113 0.113
2 Cs 0.887 0.887 0.887
3 V 0.500 0.500 0.500
4 Ni 0.000 0.500 0.500
5 Ni 0.500 0.000 0.500
6 Ni 0.500 0.500 0.000
7 F 0.177 0.177 0.570
8 F 0.177 0.570 0.177
9 F 0.198 0.567 0.567
10 F 0.430 0.823 0.823
11 F 0.433 0.433 0.802
12 F 0.433 0.802 0.433
13 F 0.567 0.198 0.567
14 F 0.567 0.567 0.198
15 F 0.570 0.177 0.177
16 F 0.802 0.433 0.433
17 F 0.823 0.430 0.823
18 F 0.823 0.823 0.430

Values from the calculation:
volume = 16.0 Å³/atom
DFT total energy = -4.69 eV/atom
symmetry = R-3m (166)